Entry 1:
! PBE-GGA Rb2ZnAg2F6, optimized geometry; values from VASP
! Formation energy (no corrections), eV per atom: -1.93
&SYSTEM
  ibrav = 0, nat = 11, ntyp = 4
/
ATOMIC_SPECIES
F 19.00 F.upf
Rb 85.47 Rb.upf
Ag 107.87 Ag.upf
Zn 65.41 Zn.upf
CELL_PARAMETERS angstrom
-3.976 -4.235 3.226
1.870 -6.319 0.851
1.766 -2.133 6.220
ATOMIC_POSITIONS crystal
F 0.217 0.796 0.769
F 0.783 0.204 0.231
F 0.217 0.217 0.769
F 0.204 0.783 0.231
F 0.783 0.783 0.231
F 0.796 0.217 0.769
Rb 0.214 0.214 0.358
Rb 0.786 0.786 0.642
Ag 0.416 0.416 0.753
Ag 0.584 0.584 0.247
Zn 0.000 0.000 0.000


Entry 2:
! PBE-GGA RbZnAg2F5, optimized geometry; values from VASP
! Formation energy (no corrections), eV per atom: -1.81
&SYSTEM
  ibrav = 0, nat = 9, ntyp = 4
/
ATOMIC_SPECIES
F 19.00 F.upf
Ag 107.87 Ag.upf
Rb 85.47 Rb.upf
Zn 65.41 Zn.upf
CELL_PARAMETERS angstrom
-1.326 -3.738 1.074
2.005 -2.233 -5.296
4.823 1.853 4.542
ATOMIC_POSITIONS crystal
F 0.628 0.363 0.256
F 0.372 0.637 0.744
F 0.000 0.000 0.000
F 0.628 0.893 0.256
F 0.372 0.107 0.744
Ag 0.782 0.782 0.563
Ag 0.218 0.218 0.437
Rb 0.000 0.500 0.000
Zn 0.500 0.000 0.000


Entry 3:
! PBE-GGA RbZnAg2F6, optimized geometry; values from VASP
! Formation energy (no corrections), eV per atom: -1.76
&SYSTEM
  ibrav = 0, nat = 20, ntyp = 4
/
ATOMIC_SPECIES
Ag 107.87 Ag.upf
F 19.00 F.upf
Rb 85.47 Rb.upf
Zn 65.41 Zn.upf
CELL_PARAMETERS angstrom
5.895 0.000 -0.162
0.000 5.973 0.000
-0.184 0.000 9.199
ATOMIC_POSITIONS crystal
Ag 0.509 0.589 0.727
Ag 0.991 0.089 0.773
Ag 0.009 0.911 0.227
Ag 0.491 0.411 0.273
F 0.707 0.094 0.301
F 0.207 0.406 0.801
F 0.749 0.340 0.874
F 0.293 0.906 0.699
F 0.393 0.712 0.426
F 0.751 0.840 0.626
F 0.249 0.160 0.374
F 0.107 0.212 0.074
F 0.793 0.594 0.199
F 0.607 0.288 0.574
F 0.893 0.788 0.926
F 0.251 0.660 0.126
Rb 0.500 0.000 0.000
Rb 0.000 0.500 0.500
Zn 0.500 0.000 0.500
Zn 0.000 0.500 0.000


Entry 4:
! PBE-GGA Rb3ZnAg2F9, optimized geometry; values from VASP
! Formation energy (no corrections), eV per atom: -2.08
&SYSTEM
  ibrav = 0, nat = 15, ntyp = 4
/
ATOMIC_SPECIES
F 19.00 F.upf
Rb 85.47 Rb.upf
Zn 65.41 Zn.upf
Ag 107.87 Ag.upf
CELL_PARAMETERS angstrom
6.152 0.000 0.000
-3.076 5.328 0.000
0.000 0.000 7.545
ATOMIC_POSITIONS crystal
F 0.685 0.842 0.344
F 0.842 0.158 0.656
F 0.000 0.500 0.000
F 0.158 0.842 0.344
F 0.842 0.685 0.656
F 0.500 0.000 0.000
F 0.500 0.500 0.000
F 0.158 0.315 0.344
F 0.315 0.158 0.656
Rb 0.667 0.333 0.335
Rb 0.000 0.000 0.000
Rb 0.333 0.667 0.665
Zn 0.000 0.000 0.500
Ag 0.333 0.667 0.174
Ag 0.667 0.333 0.826


Entry 5:
! PBE-GGA RbZn2AgF6, optimized geometry; values from VASP
! Formation energy (no corrections), eV per atom: -2.10
&SYSTEM
  ibrav = 0, nat = 20, ntyp = 4
/
ATOMIC_SPECIES
Rb 85.47 Rb.upf
F 19.00 F.upf
Zn 65.41 Zn.upf
Ag 107.87 Ag.upf
CELL_PARAMETERS angstrom
6.454 -0.129 -0.134
1.925 7.907 0.377
1.925 0.084 7.915
ATOMIC_POSITIONS crystal
Rb 0.750 0.109 0.891
Rb 0.250 0.891 0.109
F 0.814 0.033 0.224
F 0.414 0.842 0.397
F 0.030 0.699 0.626
F 0.530 0.626 0.699
F 0.086 0.603 0.158
F 0.186 0.967 0.776
F 0.970 0.301 0.374
F 0.914 0.397 0.842
F 0.686 0.776 0.967
F 0.586 0.158 0.603
F 0.470 0.374 0.301
F 0.314 0.224 0.033
Zn 0.212 0.372 0.210
Zn 0.288 0.790 0.628
Zn 0.712 0.210 0.372
Zn 0.788 0.628 0.790
Ag 0.250 0.275 0.725
Ag 0.750 0.725 0.275


Entry 6:
! PBE-GGA Rb3ZnAg3F8, optimized geometry; values from VASP
! Formation energy (no corrections), eV per atom: -1.91
&SYSTEM
  ibrav = 0, nat = 15, ntyp = 4
/
ATOMIC_SPECIES
Ag 107.87 Ag.upf
Rb 85.47 Rb.upf
F 19.00 F.upf
Zn 65.41 Zn.upf
CELL_PARAMETERS angstrom
-1.595 4.925 5.149
-1.474 -7.063 1.121
7.217 2.276 0.059
ATOMIC_POSITIONS crystal
Ag 0.500 0.000 0.500
Ag 0.500 0.500 0.500
Ag 0.000 0.500 0.500
Rb 0.000 0.000 0.000
Rb 0.500 0.500 0.000
Rb 0.000 0.500 0.000
F 0.263 0.526 0.290
F 0.200 0.401 0.685
F 0.800 0.015 0.315
F 0.200 0.985 0.685
F 0.737 0.474 0.710
F 0.785 0.985 0.685
F 0.215 0.015 0.315
F 0.800 0.599 0.315
Zn 0.000 0.000 0.500


Entry 7:
! PBE-GGA RbZn2AgF8, optimized geometry; values from VASP
! Formation energy (no corrections), eV per atom: -1.83
&SYSTEM
  ibrav = 0, nat = 12, ntyp = 4
/
ATOMIC_SPECIES
F 19.00 F.upf
Zn 65.41 Zn.upf
Ag 107.87 Ag.upf
Rb 85.47 Rb.upf
CELL_PARAMETERS angstrom
5.261 0.000 0.000
2.631 4.557 0.000
2.631 1.519 8.746
ATOMIC_POSITIONS crystal
F 0.684 0.684 0.949
F 0.445 0.135 0.663
F 0.555 0.243 0.337
F 0.316 0.316 0.051
F 0.243 0.865 0.337
F 0.757 0.445 0.663
F 0.135 0.757 0.663
F 0.865 0.555 0.337
Zn 0.245 0.245 0.264
Zn 0.755 0.755 0.736
Ag 0.500 0.500 0.500
Rb 0.000 0.000 0.000


Entry 8:
! PBE-GGA Rb3Zn2AgF8, optimized geometry; values from VASP
! Formation energy (no corrections), eV per atom: -2.31
&SYSTEM
  ibrav = 0, nat = 14, ntyp = 4
/
ATOMIC_SPECIES
Rb 85.47 Rb.upf
Zn 65.41 Zn.upf
F 19.00 F.upf
Ag 107.87 Ag.upf
CELL_PARAMETERS angstrom
-3.026 3.901 3.838
-2.824 -5.192 -2.044
2.845 -4.050 6.360
ATOMIC_POSITIONS crystal
Rb 0.333 0.667 0.636
Rb 0.000 0.000 0.000
Rb 0.667 0.333 0.364
Zn 0.333 0.667 0.196
Zn 0.667 0.333 0.804
F 0.345 0.172 0.697
F 0.333 0.667 0.964
F 0.172 0.828 0.303
F 0.667 0.333 0.036
F 0.828 0.172 0.697
F 0.172 0.345 0.303
F 0.828 0.655 0.697
F 0.655 0.828 0.303
Ag 0.000 0.000 0.500


Among the records above, which one has the lowest formation energy (no corrections)? Rb3Zn2AgF8